Record 1
This record from Alexandria via LeMat-Bulk describes a geometry-optimized ThSi3Pd3 structure. The functional is GGA-PBE.

abc: 6.563 6.563 6.563
angles: 90.00 90.00 90.00
Fractional coordinates of all 14 atoms:
1 Th 0.500 0.500 0.500
2 Th 0.000 0.000 0.000
3 Si 0.250 0.500 0.000
4 Si 0.000 0.750 0.500
5 Si 0.500 0.000 0.750
6 Si 0.000 0.250 0.500
7 Si 0.750 0.500 0.000
8 Si 0.500 0.000 0.250
9 Pd 0.000 0.500 0.250
10 Pd 0.500 0.250 0.000
11 Pd 0.250 0.000 0.500
12 Pd 0.750 0.000 0.500
13 Pd 0.500 0.750 0.000
14 Pd 0.000 0.500 0.750

Properties
E_tot	-5.99	eV per atom
size of the total moment	0.00	Bohr magnetons per cell
D(E_F)	0.528	states/eV/atom

Record 2
This record from Alexandria via LeMat-Bulk describes a geometry-optimized ThSi4Pd12 structure. The functional is GGA-PBE.

abc: 7.277 7.277 7.277
angles: 109.47 109.47 109.47
Fractional coordinates of all 17 atoms:
1 Pd 0.496 0.835 0.661
2 Pd 0.165 0.661 0.826
3 Pd 0.661 0.826 0.165
4 Pd 0.165 0.339 0.504
5 Pd 0.339 0.504 0.165
6 Pd 0.504 0.165 0.339
7 Pd 0.835 0.339 0.174
8 Pd 0.174 0.835 0.339
9 Pd 0.835 0.661 0.496
10 Pd 0.826 0.165 0.661
11 Pd 0.339 0.174 0.835
12 Pd 0.661 0.496 0.835
13 Si 0.500 0.500 0.500
14 Si 0.500 0.000 0.000
15 Si 0.000 0.500 0.000
16 Si 0.000 0.000 0.500
17 Th 0.000 0.000 0.000

Properties
E_tot	-5.84	eV per atom
size of the total moment	0.00	Bohr magnetons per cell
D(E_F)	0.372	states/eV/atom

Record 3
This record from Alexandria via LeMat-Bulk describes a geometry-optimized Th2Si5Pd3 structure. The functional is GGA-PBE.

abc: 6.102 8.320 8.320
angles: 91.23 68.49 68.49
Fractional coordinates of all 20 atoms:
1 Si 0.750 0.500 0.500
2 Si 0.250 0.775 0.225
3 Si 0.250 0.225 0.775
4 Si 0.750 0.775 0.225
5 Si 0.353 0.032 0.262
6 Si 0.250 0.500 0.500
7 Si 0.147 0.738 0.968
8 Si 0.750 0.225 0.775
9 Si 0.647 0.968 0.738
10 Si 0.853 0.262 0.032
11 Pd 0.889 0.750 0.470
12 Pd 0.111 0.250 0.530
13 Pd 0.389 0.470 0.750
14 Pd 0.250 0.000 0.000
15 Pd 0.611 0.530 0.250
16 Pd 0.750 0.000 0.000
17 Th 0.768 0.606 0.859
18 Th 0.268 0.859 0.606
19 Th 0.732 0.141 0.394
20 Th 0.232 0.394 0.141

Properties
E_tot	-6.55	eV per atom
size of the total moment	0.00	Bohr magnetons per cell
D(E_F)	0.363	states/eV/atom

Record 4
This record from Alexandria via LeMat-Bulk describes a geometry-optimized Th2Si2Pd5 structure. The functional is GGA-PBE.

abc: 4.245 4.245 9.197
angles: 90.00 90.00 90.00
Fractional coordinates of all 9 atoms:
1 Th 0.000 0.000 0.000
2 Th 0.000 0.000 0.500
3 Pd 0.000 0.500 0.731
4 Pd 0.500 0.000 0.269
5 Pd 0.500 0.500 0.500
6 Pd 0.000 0.500 0.269
7 Pd 0.500 0.000 0.731
8 Si 0.500 0.500 0.130
9 Si 0.500 0.500 0.870

Properties
E_tot	-6.65	eV per atom
size of the total moment	0.00	Bohr magnetons per cell
D(E_F)	0.158	states/eV/atom

Record 5
This record from Alexandria via LeMat-Bulk describes a geometry-optimized ThSi2Pd2 structure. The functional is GGA-PBE.

abc: 5.857 5.857 5.857
angles: 137.64 137.64 61.45
Fractional coordinates of all 5 atoms:
1 Pd 0.250 0.750 0.500
2 Pd 0.750 0.250 0.500
3 Th 0.000 0.000 0.000
4 Si 0.383 0.383 0.000
5 Si 0.617 0.617 0.000

Properties
E_tot	-6.67	eV per atom
size of the total moment	0.00	Bohr magnetons per cell
D(E_F)	0.475	states/eV/atom

Record 6
This record from Alexandria via LeMat-Bulk describes a geometry-optimized Th2ZnSi3Pd4 structure. The functional is GGA-PBE.

abc: 4.270 4.270 10.045
angles: 90.00 90.00 90.00
Fractional coordinates of all 10 atoms:
1 Pd 0.500 0.000 0.630
2 Pd 0.000 0.500 0.370
3 Pd 0.000 0.000 0.000
4 Pd 0.500 0.500 0.000
5 Zn 0.500 0.500 0.500
6 Si 0.000 0.500 0.131
7 Si 0.500 0.000 0.869
8 Si 0.000 0.000 0.500
9 Th 0.000 0.500 0.753
10 Th 0.500 0.000 0.247

Properties
E_tot	-6.17	eV per atom
size of the total moment	0.00	Bohr magnetons per cell
D(E_F)	0.681	states/eV/atom

Record 7
This record from Alexandria via LeMat-Bulk describes a geometry-optimized Th2ZnSi4Pd3 structure. The functional is GGA-PBE.

abc: 4.255 4.255 10.007
angles: 90.00 90.00 90.00
Fractional coordinates of all 10 atoms:
1 Pd 0.500 0.000 0.880
2 Pd 0.000 0.500 0.120
3 Pd 0.000 0.000 0.500
4 Th 0.000 0.500 0.754
5 Th 0.500 0.000 0.246
6 Si 0.500 0.000 0.637
7 Si 0.500 0.500 0.000
8 Si 0.000 0.000 0.000
9 Si 0.000 0.500 0.363
10 Zn 0.500 0.500 0.500

Properties
E_tot	-6.15	eV per atom
size of the total moment	0.00	Bohr magnetons per cell
D(E_F)	0.321	states/eV/atom

Record 8
This record from Alexandria via LeMat-Bulk describes a geometry-optimized Th3ZnSi6Pd2 structure. The functional is GGA-PBE.

abc: 5.900 5.900 8.025
angles: 90.00 90.00 120.00
Fractional coordinates of all 12 atoms:
1 Si 0.388 0.194 0.712
2 Si 0.806 0.194 0.712
3 Si 0.194 0.806 0.288
4 Si 0.806 0.612 0.712
5 Si 0.612 0.806 0.288
6 Si 0.194 0.388 0.288
7 Th 0.000 0.000 0.000
8 Th 0.667 0.333 0.365
9 Th 0.333 0.667 0.635
10 Pd 0.667 0.333 0.970
11 Pd 0.333 0.667 0.030
12 Zn 0.000 0.000 0.500

Properties
E_tot	-5.93	eV per atom
size of the total moment	0.00	Bohr magnetons per cell
D(E_F)	0.386	states/eV/atom

Record 9
This record from Alexandria via LeMat-Bulk describes a geometry-optimized Ti5Si2Pd12 structure. The functional is GGA-PBE.

abc: 7.083 7.286 6.696
angles: 98.00 90.00 119.08
Fractional coordinates of all 19 atoms:
1 Pd 0.020 0.638 0.783
2 Pd 0.194 0.784 0.407
3 Pd 0.806 0.216 0.593
4 Pd 0.124 0.248 0.861
5 Pd 0.980 0.362 0.217
6 Pd 0.876 0.752 0.139
7 Pd 0.461 0.921 0.783
8 Pd 0.382 0.362 0.217
9 Pd 0.410 0.216 0.593
10 Pd 0.539 0.079 0.217
11 Pd 0.590 0.784 0.407
12 Pd 0.618 0.638 0.783
13 Si 0.785 0.000 0.000
14 Si 0.215 0.000 0.000
15 Ti 0.327 0.655 0.062
16 Ti 0.248 0.496 0.555
17 Ti 0.000 0.000 0.500
18 Ti 0.673 0.345 0.938
19 Ti 0.752 0.504 0.445

Properties
E_tot	-6.45	eV per atom
size of the total moment	0.01	Bohr magnetons per cell
D(E_F)	0.689	states/eV/atom

Record 10
This record from Alexandria via LeMat-Bulk describes a geometry-optimized TiSiPd5 structure. The functional is GGA-PBE.

abc: 6.392 6.392 7.260
angles: 65.52 65.52 80.88
Fractional coordinates of all 14 atoms:
1 Ti 0.469 0.531 0.750
2 Ti 0.531 0.469 0.250
3 Pd 0.219 0.382 0.167
4 Pd 0.828 0.172 0.250
5 Pd 0.832 0.368 0.524
6 Pd 0.382 0.219 0.667
7 Pd 0.368 0.832 0.024
8 Pd 0.168 0.632 0.476
9 Pd 0.632 0.168 0.976
10 Pd 0.618 0.781 0.333
11 Pd 0.172 0.828 0.750
12 Pd 0.781 0.618 0.833
13 Si 0.000 0.000 0.500
14 Si 0.000 0.000 0.000

Properties
size of the total moment	0.00	Bohr magnetons per cell
D(E_F)	0.450	states/eV/atom
energy above the lowest structure with this stoichiometry	493.7	meV per atom

Record 11
This record from Alexandria via LeMat-Bulk describes a geometry-optimized TiSi2Pd7 structure. The functional is GGA-PBE.

abc: 4.273 6.862 6.862
angles: 115.52 90.00 90.00
Fractional coordinates of all 10 atoms:
1 Pd 0.000 0.228 0.772
2 Pd 0.000 0.772 0.228
3 Pd 0.500 0.691 0.934
4 Pd 0.500 0.934 0.691
5 Pd 0.500 0.500 0.500
6 Pd 0.500 0.309 0.066
7 Pd 0.500 0.066 0.309
8 Si 0.500 0.303 0.697
9 Si 0.500 0.697 0.303
10 Ti 0.000 0.000 0.000

Properties
E_tot	-5.77	eV per atom
size of the total moment	0.00	Bohr magnetons per cell
D(E_F)	0.576	states/eV/atom

Record 12
This record from Alexandria via LeMat-Bulk describes a geometry-optimized Ti3SiPd structure. The functional is GGA-PBE.

abc: 4.699 4.699 4.699
angles: 90.00 90.00 90.00
Fractional coordinates of all 5 atoms:
1 Pd 0.000 0.000 0.000
2 Si 0.500 0.500 0.500
3 Ti 0.000 0.500 0.000
4 Ti 0.500 0.000 0.000
5 Ti 0.000 0.000 0.500

Properties
size of the total moment	0.00	Bohr magnetons per cell
D(E_F)	1.062	states/eV/atom
energy above the lowest structure with this stoichiometry	294.3	meV per atom

Record 13
This record from Alexandria via LeMat-Bulk describes a geometry-optimized Ti2SiPd structure. The functional is GGA-PBE.

abc: 4.025 3.861 3.861
angles: 90.00 90.00 90.00
Fractional coordinates of all 4 atoms:
1 Si 0.500 0.000 0.000
2 Ti 0.000 0.500 0.000
3 Ti 0.000 0.000 0.500
4 Pd 0.500 0.500 0.500

Properties
E_tot	-7.19	eV per atom
size of the total moment	0.00	Bohr magnetons per cell
D(E_F)	1.050	states/eV/atom

Record 14
This record from Alexandria via LeMat-Bulk describes a geometry-optimized Ti12Si6Pd structure. The functional is GGA-PBE.

abc: 7.218 7.218 7.218
angles: 106.89 106.89 106.89
Fractional coordinates of all 19 atoms:
1 Ti 0.557 0.976 0.683
2 Ti 0.337 0.054 0.910
3 Ti 0.663 0.946 0.090
4 Ti 0.024 0.317 0.443
5 Ti 0.054 0.910 0.337
6 Ti 0.090 0.663 0.946
7 Ti 0.317 0.443 0.024
8 Ti 0.976 0.683 0.557
9 Ti 0.946 0.090 0.663
10 Ti 0.443 0.024 0.317
11 Ti 0.683 0.557 0.976
12 Ti 0.910 0.337 0.054
13 Si 0.350 0.243 0.652
14 Si 0.650 0.757 0.348
15 Si 0.243 0.652 0.350
16 Si 0.348 0.650 0.757
17 Si 0.757 0.348 0.650
18 Si 0.652 0.350 0.243
19 Pd 0.000 0.000 0.000

Properties
E_tot	-7.24	eV per atom
size of the total moment	0.00	Bohr magnetons per cell
D(E_F)	1.256	states/eV/atom

Record 15
This record from Alexandria via LeMat-Bulk describes a geometry-optimized Ti4SiPd2 structure. The functional is GGA-PBE.

abc: 4.556 4.556 7.160
angles: 71.45 71.45 90.00
Fractional coordinates of all 7 atoms:
1 Ti 0.500 0.000 0.000
2 Ti 0.000 0.500 0.000
3 Ti 0.812 0.812 0.376
4 Ti 0.188 0.188 0.624
5 Pd 0.625 0.625 0.751
6 Pd 0.375 0.375 0.249
7 Si 0.000 0.000 0.000

Properties
E_tot	-6.67	eV per atom
size of the total moment	0.00	Bohr magnetons per cell
D(E_F)	1.277	states/eV/atom

Record 16
This record from Alexandria via LeMat-Bulk describes a geometry-optimized Ti2SiPd structure. The functional is GGA-PBE.

abc: 7.079 7.079 5.646
angles: 51.18 51.18 90.00
Fractional coordinates of all 8 atoms:
1 Ti 0.375 0.378 0.750
2 Ti 0.875 0.872 0.750
3 Ti 0.622 0.125 0.250
4 Ti 0.128 0.625 0.250
5 Si 0.500 0.500 0.000
6 Si 0.250 0.750 0.500
7 Pd 0.750 0.250 0.500
8 Pd 0.000 0.000 0.000

Properties
E_tot	-6.80	eV per atom
size of the total moment	0.00	Bohr magnetons per cell
D(E_F)	1.074	states/eV/atom

Record 17
This record from Alexandria via LeMat-Bulk describes a geometry-optimized TiSiPd6 structure. The functional is GGA-PBE.

abc: 7.428 6.726 5.020
angles: 47.82 42.25 56.54
Fractional coordinates of all 8 atoms:
1 Pd 0.762 0.952 0.701
2 Pd 0.950 0.584 0.227
3 Pd 0.585 0.238 0.127
4 Pd 0.415 0.762 0.873
5 Pd 0.238 0.048 0.299
6 Pd 0.050 0.416 0.773
7 Ti 0.500 0.500 0.500
8 Si 0.000 0.000 0.000

Properties
E_tot	-6.01	eV per atom
size of the total moment	0.00	Bohr magnetons per cell
D(E_F)	0.666	states/eV/atom

Record 18
This record from Alexandria via LeMat-Bulk describes a geometry-optimized Ti2SiPd8 structure. The functional is GGA-PBE.

abc: 4.466 5.648 7.614
angles: 111.74 107.05 90.00
Fractional coordinates of all 11 atoms:
1 Si 0.500 0.000 0.000
2 Ti 0.811 0.310 0.621
3 Ti 0.189 0.690 0.379
4 Pd 0.813 0.812 0.625
5 Pd 0.000 0.252 0.000
6 Pd 0.365 0.605 0.730
7 Pd 0.187 0.188 0.375
8 Pd 0.635 0.395 0.270
9 Pd 0.000 0.748 0.000
10 Pd 0.365 0.125 0.730
11 Pd 0.635 0.875 0.270

Properties
E_tot	-6.30	eV per atom
size of the total moment	0.00	Bohr magnetons per cell
D(E_F)	0.410	states/eV/atom

Record 19
This record from Alexandria via LeMat-Bulk describes a geometry-optimized Ti3SiPd structure. The functional is GGA-PBE.

abc: 4.570 4.570 4.570
angles: 90.00 90.00 90.00
Fractional coordinates of all 5 atoms:
1 Pd 0.500 0.500 0.500
2 Si 0.000 0.000 0.000
3 Ti 0.000 0.000 0.500
4 Ti 0.500 0.000 0.000
5 Ti 0.000 0.500 0.000

Properties
size of the total moment	0.00	Bohr magnetons per cell
D(E_F)	1.150	states/eV/atom
energy above the lowest structure with this stoichiometry	0.0	meV per atom

Record 20
This record from Alexandria via LeMat-Bulk describes a geometry-optimized Ti2SiPd2 structure. The functional is GGA-PBE.

abc: 7.023 7.023 3.240
angles: 90.00 90.00 90.00
Fractional coordinates of all 10 atoms:
1 Pd 0.633 0.133 0.000
2 Pd 0.367 0.867 0.000
3 Pd 0.133 0.367 0.000
4 Pd 0.867 0.633 0.000
5 Ti 0.829 0.329 0.500
6 Ti 0.671 0.829 0.500
7 Ti 0.171 0.671 0.500
8 Ti 0.329 0.171 0.500
9 Si 0.000 0.000 0.000
10 Si 0.500 0.500 0.000

Properties
E_tot	-6.75	eV per atom
size of the total moment	0.00	Bohr magnetons per cell
D(E_F)	0.674	states/eV/atom